[1]
TbAlIn2O6: optimized geometry, PBE.

a = 5.4489 Å, b = 5.4489 Å, c = 14.5725 Å
α = 90.00°, β = 90.00°, γ = 120.00°
Space group R3 (No. 146, hexagonal axes)
Unique sites:
1 Tb 0.0000 0.0000 0.0000 [3 per cell]
2 Al 0.0000 0.0000 0.4863 [3 per cell]
3 In 0.0000 0.0000 0.2755 [3 per cell]
4 In 0.0000 0.0000 0.7852 [3 per cell]
5 O 0.0024 0.7244 0.3974 [9 per cell]
6 O 0.0065 0.3724 0.2200 [9 per cell]

Values from the calculation:
Crystal system   trigonal
DOS at the Fermi energy   0.0 states/eV/f.u.
ΔE_f (raw)   -2.337 eV per atom


[2]
CdS2NO: optimized geometry, PBE.

a = 4.334 Å, b = 4.334 Å, c = 3.933 Å
α = 90.00°, β = 90.00°, γ = 90.00°
Space group P4/mmm (No. 123)
Unique sites:
1 Cd 0.000 0.000 0.000 [1 per cell]
2 S 0.000 0.500 0.500 [2 per cell]
3 N 0.500 0.500 0.000 [1 per cell]
4 O 0.500 0.500 0.500 [1 per cell]

Values from the calculation:
Polymorph energy (0 for the lowest one)   0.0 meV/atom
Crystal system   tetragonal
DOS at the Fermi energy   2.0 states/eV/f.u.
ΔE_f (raw)   1.273 eV per atom